Record 1
First-principles (PBE-GGA) data for an optimized crystal structure of LiMoW4, as listed in the Alexandria database.

a b c (Å): 5.2471 5.2471 5.2471
angles (deg): 60.00 60.00 60.00
Fractional coordinates of all 6 atoms:
Li  0.0000  0.0000  0.0000
Mo  0.7500  0.7500  0.7500
W  0.3742  0.3742  0.3742
W  0.3742  0.3742  0.8773
W  0.3742  0.8773  0.3742
W  0.8773  0.3742  0.3742

Summary:
Space group: F-43m, No. 216
Formation enthalpy at 0 K in eV/f.u.: 3.024



Record 2
First-principles (PBE-GGA) data for an optimized crystal structure of LiMoW2, as listed in the Alexandria database.

a b c (Å): 9.1245 2.6083 5.2551
angles (deg): 90.00 93.41 90.00
Fractional coordinates of all 8 atoms:
Li  0.0000  0.0000  0.0000
Li  0.5000  0.5000  0.0000
Mo  0.2494  0.5000  0.2424
Mo  0.7494  0.0000  0.2424
W  0.0012  0.5000  0.5001
W  0.2512  0.0000  0.7567
W  0.5012  0.0000  0.5001
W  0.7512  0.5000  0.7567

Summary:
Space group: Cm, No. 8
Formation enthalpy at 0 K in eV/f.u.: 1.758
Distance to the lowest polymorph of the same formula in meV per atom: 157



Record 3
First-principles (PBE-GGA) data for an optimized crystal structure of LiMo2W, as listed in the Alexandria database.

a b c (Å): 3.2159 3.2159 5.7302
angles (deg): 90.00 90.00 90.00
Fractional coordinates of all 4 atoms:
Li  0.0000  0.0000  0.0000
Mo  0.0000  0.0000  0.4991
Mo  0.5000  0.5000  0.2309
W  0.5000  0.5000  0.7659

Summary:
Space group: P4mm, No. 99
Formation enthalpy at 0 K in eV/f.u.: 1.726
Distance to the lowest polymorph of the same formula in meV per atom: 185



Record 4
First-principles (PBE-GGA) data for an optimized crystal structure of LiMo2W, as listed in the Alexandria database.

a b c (Å): 6.2221 6.2221 6.2221
angles (deg): 90.00 90.00 90.00
Fractional coordinates of all 16 atoms:
Li  0.0000  0.0000  0.0000
Li  0.0000  0.5000  0.5000
Li  0.5000  0.0000  0.5000
Li  0.5000  0.5000  0.0000
Mo  0.0000  0.0000  0.5000
Mo  0.0000  0.5000  0.0000
Mo  0.2500  0.2500  0.7500
Mo  0.2500  0.7500  0.2500
Mo  0.5000  0.0000  0.0000
Mo  0.5000  0.5000  0.5000
Mo  0.7500  0.2500  0.2500
Mo  0.7500  0.7500  0.7500
W  0.2500  0.2500  0.2500
W  0.2500  0.7500  0.7500
W  0.7500  0.2500  0.7500
W  0.7500  0.7500  0.2500

Summary:
Space group: F-43m, No. 216
Formation enthalpy at 0 K in eV/f.u.: 1.747
Distance to the lowest polymorph of the same formula in meV per atom: 190



Record 5
First-principles (PBE-GGA) data for an optimized crystal structure of LiMoW2, as listed in the Alexandria database.

a b c (Å): 3.1948 4.4042 8.7795
angles (deg): 90.00 90.00 90.00
Fractional coordinates of all 8 atoms:
Li  0.0000  0.0000  0.0000
Li  0.5000  0.5000  0.5000
Mo  0.0000  0.0000  0.5000
Mo  0.5000  0.5000  0.0000
W  0.0000  0.5000  0.2391
W  0.0000  0.5000  0.7609
W  0.5000  0.0000  0.2609
W  0.5000  0.0000  0.7391

Summary:
Space group: Immm, No. 71
Formation enthalpy at 0 K in eV/f.u.: 1.683
Distance to the lowest polymorph of the same formula in meV per atom: 139



Record 6
First-principles (PBE-GGA) data for an optimized crystal structure of LiMoW2, as listed in the Alexandria database.

a b c (Å): 2.6306 2.6306 9.3050
angles (deg): 90.00 90.00 90.00
Fractional coordinates of all 4 atoms:
Li  0.0000  0.0000  0.0000
Mo  0.5000  0.5000  0.2520
W  0.0000  0.0000  0.5012
W  0.5000  0.5000  0.7514

Summary:
Space group: P4mm, No. 99
Formation enthalpy at 0 K in eV/f.u.: 1.865
Distance to the lowest polymorph of the same formula in meV per atom: 184



Record 7
First-principles (PBE-GGA) data for an optimized crystal structure of LiMo2W, as listed in the Alexandria database.

a b c (Å): 3.1754 4.4391 8.6709
angles (deg): 90.00 90.00 90.00
Fractional coordinates of all 8 atoms:
Li  0.0000  0.0000  0.0000
Li  0.5000  0.5000  0.5000
Mo  0.0000  0.5000  0.2425
Mo  0.0000  0.5000  0.7575
Mo  0.5000  0.0000  0.2575
Mo  0.5000  0.0000  0.7425
W  0.0000  0.0000  0.5000
W  0.5000  0.5000  0.0000

Summary:
Space group: Immm, No. 71
Formation enthalpy at 0 K in eV/f.u.: 1.650
Distance to the lowest polymorph of the same formula in meV per atom: 165



Record 8
First-principles (PBE-GGA) data for an optimized crystal structure of LiMo2W, as listed in the Alexandria database.

a b c (Å): 2.5825 4.3650 5.4983
angles (deg): 90.00 90.00 90.00
Fractional coordinates of all 4 atoms:
Li  0.0000  0.0000  0.0000
Mo  0.5000  0.5000  0.2426
Mo  0.5000  0.5000  0.7574
W  0.0000  0.0000  0.5000

Summary:
Space group: Pmmm, No. 47
Formation enthalpy at 0 K in eV/f.u.: 1.583
Distance to the lowest polymorph of the same formula in meV per atom: 149